[1]
Cs4HfTe5: relaxed, PBE.

a = 11.606 Å, b = 11.606 Å, c = 7.844 Å
α = 90.00°, β = 90.00°, γ = 90.00°
Space group I4 (No. 79)
Unique sites:
1 Cs 0.074 0.699 0.000 (multiplicity 8)
2 Hf 0.000 0.000 0.596 (multiplicity 2)
3 Te 0.000 0.000 0.942 (multiplicity 2)
4 Te 0.071 0.778 0.493 (multiplicity 8)

[2]
CsHfTe2: relaxed, PBE.

a = 4.687 Å, b = 4.687 Å, c = 6.421 Å
α = 90.00°, β = 90.00°, γ = 90.00°
Space group P4/mmm (No. 123)
Unique sites:
1 Cs 0.000 0.000 0.000 (multiplicity 1)
2 Hf 0.500 0.500 0.500 (multiplicity 1)
3 Te 0.000 0.000 0.500 (multiplicity 1)
4 Te 0.500 0.500 0.000 (multiplicity 1)

[3]
Cs8HfTe6: relaxed, PBE.

a = 11.566 Å, b = 10.246 Å, c = 14.222 Å
α = 90.00°, β = 90.00°, γ = 90.00°
Space group Pmn2_1 (No. 31)
Unique sites:
1 Cs 0.000 0.162 0.000 (multiplicity 2)
2 Cs 0.000 0.180 0.523 (multiplicity 2)
3 Cs 0.172 0.523 0.169 (multiplicity 4)
4 Cs 0.182 0.679 0.865 (multiplicity 4)
5 Cs 0.199 0.941 0.249 (multiplicity 4)
6 Hf 0.000 0.679 0.562 (multiplicity 2)
7 Te 0.000 0.232 0.267 (multiplicity 2)
8 Te 0.000 0.469 0.685 (multiplicity 2)
9 Te 0.000 0.800 0.063 (multiplicity 2)
10 Te 0.000 0.891 0.683 (multiplicity 2)
11 Te 0.196 0.672 0.452 (multiplicity 4)

[4]
Cs2HfTe6: relaxed, PBE.

a = 16.217 Å, b = 9.677 Å, c = 5.131 Å
α = 90.00°, β = 95.73°, γ = 90.00°
Space group C2/m (No. 12)
Unique sites:
1 Cs 0.207 0.000 0.472 (multiplicity 4)
2 Hf 0.000 0.500 0.000 (multiplicity 2)
3 Te 0.000 0.322 0.500 (multiplicity 4)
4 Te 0.132 0.301 0.939 (multiplicity 8)

One value per record, in order, for DOS(E_F): 6.5, 3.4, 0.0, 2.1 states/eV/f.u..
One value per record, in order, for formation energy without anion corrections: -0.843, 0.015, -1.006, -0.593 eV per atom.
One value per record, in order, for total magnetic moment: 0.00, 0.00, 0.01, 0.00 μB per atom.